(1)
## ReRhPb2I (PBE)

Data for a geometry-optimized ReRhPb2I structure.

DFT total energy = -4.45 eV per atom
D(E_F) = 5.95 states/eV/cell
Space-group type = P4/mmm, No. 123
Raw formation energy = 1.3022 eV/atom

Cell: 5.2809 5.2809 5.3799 Å, 90.00 90.00 90.00°
Sites, in units of the cell vectors:
Re (0.0000, 0.0000, 0.0000)
Rh (0.5000, 0.5000, 0.5000)
Pb (0.0000, 0.5000, 0.5000)
Pb (0.5000, 0.0000, 0.5000)
I (0.5000, 0.5000, 0.0000)



(2)
## InTc2As (PBE)

Data for a geometry-optimized InTc2As structure.

DFT total energy = -6.72 eV per atom
Energy above the lowest structure with this stoichiometry = 108.5 kJ/mol of formula units
D(E_F) = 2.73 states/eV/cell
Formation enthalpy at 0 K = 315 meV per atom
Space-group type = Cmmm, No. 65

Cell: 3.0033 3.0033 8.4375 Å, 90.00 90.00 117.51°
Sites, in units of the cell vectors:
In (0.0000, 0.0000, 0.0000)
Tc (0.5000, 0.5000, 0.2773)
Tc (0.5000, 0.5000, 0.7227)
As (0.0000, 0.0000, 0.5000)